Here is UMnAlSi2 after structural relaxation from Alexandria. Energies are from PBE-GGA.

Geometry as CIF:
```
data_UMnAlSi2
_chemical_formula_sum 'U2 Mn2 Al2 Si4'
_cell_length_a 5.325
_cell_length_b 5.485
_cell_length_c 5.546
_cell_angle_alpha 90.00
_cell_angle_beta 90.00
_cell_angle_gamma 90.00
_space_group_name_H-M_alt 'P 1'
_space_group_IT_number 1
loop_
_space_group_symop_operation_xyz
'x,y,z'
loop_
_atom_site_label
_atom_site_type_symbol
_atom_site_fract_x
_atom_site_fract_y
_atom_site_fract_z
_atom_site_occupancy
U1 U 0.250 0.000 0.232 1
U2 U 0.750 0.000 0.768 1
Mn1 Mn 0.000 0.500 0.000 1
Mn2 Mn 0.500 0.500 0.000 1
Al1 Al 0.250 0.500 0.377 1
Al2 Al 0.750 0.500 0.623 1
Si1 Si 0.250 0.231 0.749 1
Si2 Si 0.250 0.769 0.749 1
Si3 Si 0.750 0.231 0.251 1
Si4 Si 0.750 0.769 0.251 1
```

---

Here is KPdCl after structural relaxation from Alexandria. Energies are from PBE-GGA.

Properties
The energy above the most stable polymorph in this dataset is 0.43 eV per formula unit.

Geometry as CIF:
```
data_KPdCl
_chemical_formula_sum 'K4 Pd4 Cl4'
_cell_length_a 8.749
_cell_length_b 4.559
_cell_length_c 9.146
_cell_angle_alpha 90.00
_cell_angle_beta 90.00
_cell_angle_gamma 90.00
_space_group_name_H-M_alt 'P 1'
_space_group_IT_number 1
loop_
_space_group_symop_operation_xyz
'x,y,z'
loop_
_atom_site_label
_atom_site_type_symbol
_atom_site_fract_x
_atom_site_fract_y
_atom_site_fract_z
_atom_site_occupancy
K1 K 0.247 0.250 0.013 1
K2 K 0.253 0.750 0.513 1
K3 K 0.747 0.250 0.487 1
K4 K 0.753 0.750 0.987 1
Pd1 Pd 0.013 0.250 0.739 1
Pd2 Pd 0.487 0.750 0.239 1
Pd3 Pd 0.513 0.250 0.761 1
Pd4 Pd 0.987 0.750 0.261 1
Cl1 Cl 0.040 0.750 0.784 1
Cl2 Cl 0.460 0.250 0.284 1
Cl3 Cl 0.540 0.750 0.716 1
Cl4 Cl 0.960 0.250 0.216 1
```

---

Here is BaPRu2 after structural relaxation from Alexandria. Energies are from PBE-GGA.

Properties
The value obtained for the formation energy is 0.274 eV/atom.

Geometry as CIF:
```
data_BaPRu2
_chemical_formula_sum 'Ba1 P1 Ru2'
_cell_length_a 3.043
_cell_length_b 3.043
_cell_length_c 7.867
_cell_angle_alpha 90.00
_cell_angle_beta 90.00
_cell_angle_gamma 90.00
_space_group_name_H-M_alt 'P 1'
_space_group_IT_number 1
loop_
_space_group_symop_operation_xyz
'x,y,z'
loop_
_atom_site_label
_atom_site_type_symbol
_atom_site_fract_x
_atom_site_fract_y
_atom_site_fract_z
_atom_site_occupancy
Ba1 Ba 0.000 0.000 0.000 1
P1 P 0.000 0.000 0.500 1
Ru1 Ru 0.500 0.500 0.333 1
Ru2 Ru 0.500 0.500 0.667 1
```

---

Here is Cs3CaCd after structural relaxation from Alexandria. Energies are from PBE-GGA.

Properties
The energy above the most stable polymorph in this dataset is 0.00 eV per formula unit. The value obtained for the formation energy is 0.223 eV/atom.

Geometry as CIF:
```
data_Cs3CaCd
_chemical_formula_sum 'Cs3 Ca1 Cd1'
_cell_length_a 7.418
_cell_length_b 7.418
_cell_length_c 7.418
_cell_angle_alpha 90.00
_cell_angle_beta 90.00
_cell_angle_gamma 90.00
_space_group_name_H-M_alt 'P 1'
_space_group_IT_number 1
loop_
_space_group_symop_operation_xyz
'x,y,z'
loop_
_atom_site_label
_atom_site_type_symbol
_atom_site_fract_x
_atom_site_fract_y
_atom_site_fract_z
_atom_site_occupancy
Cs1 Cs 0.000 0.000 0.500 1
Cs2 Cs 0.000 0.500 0.000 1
Cs3 Cs 0.500 0.000 0.000 1
Ca1 Ca 0.500 0.500 0.500 1
Cd1 Cd 0.000 0.000 0.000 1
```

---

Here is Nd2GaSn3Pt4 after structural relaxation from Alexandria. Energies are from PBE-GGA.

Properties
The value obtained for the formation energy is -0.864 eV/atom.

Geometry as CIF:
```
data_Nd2GaSn3Pt4
_chemical_formula_sum 'Nd2 Ga1 Sn3 Pt4'
_cell_length_a 4.549
_cell_length_b 4.549
_cell_length_c 10.619
_cell_angle_alpha 90.00
_cell_angle_beta 90.00
_cell_angle_gamma 90.00
_space_group_name_H-M_alt 'P 1'
_space_group_IT_number 1
loop_
_space_group_symop_operation_xyz
'x,y,z'
loop_
_atom_site_label
_atom_site_type_symbol
_atom_site_fract_x
_atom_site_fract_y
_atom_site_fract_z
_atom_site_occupancy
Nd1 Nd 0.000 0.500 0.247 1
Nd2 Nd 0.500 0.000 0.753 1
Ga1 Ga 0.500 0.500 0.000 1
Sn1 Sn 0.000 0.000 0.000 1
Sn2 Sn 0.000 0.500 0.631 1
Sn3 Sn 0.500 0.000 0.369 1
Pt1 Pt 0.000 0.000 0.500 1
Pt2 Pt 0.000 0.500 0.876 1
Pt3 Pt 0.500 0.000 0.124 1
Pt4 Pt 0.500 0.500 0.500 1
```

---

Here is CeNd2Ga after structural relaxation from Alexandria. Energies are from PBE-GGA.

Properties
The energy above the most stable polymorph in this dataset is 0.49 eV per formula unit. The value obtained for the formation energy is -0.090 eV/atom.

Geometry as CIF:
```
data_CeNd2Ga
_chemical_formula_sum 'Ce1 Nd2 Ga1'
_cell_length_a 10.698
_cell_length_b 10.698
_cell_length_c 10.698
_cell_angle_alpha 19.75
_cell_angle_beta 19.75
_cell_angle_gamma 19.75
_space_group_name_H-M_alt 'P 1'
_space_group_IT_number 1
loop_
_space_group_symop_operation_xyz
'x,y,z'
loop_
_atom_site_label
_atom_site_type_symbol
_atom_site_fract_x
_atom_site_fract_y
_atom_site_fract_z
_atom_site_occupancy
Ce1 Ce 0.000 0.000 0.000 1
Nd1 Nd 0.238 0.238 0.238 1
Nd2 Nd 0.428 0.428 0.428 1
Ga1 Ga 0.833 0.833 0.833 1
```

---

no.,E (eV per atom)
1,-7.228
2,-3.386
3,-6.197
4,-0.873
5,-5.737
6,-4.714